# PBE-GGA MnV6Tc5, relaxed
# Calculated total energy (eV per cell): -239.66
# V (Å³/cell): 325
data_MnV6Tc5
_chemical_formula_sum 'Mn2 V12 Tc10'
_cell_length_a 4.253
_cell_length_b 6.016
_cell_length_c 12.708
_cell_angle_alpha 90.00
_cell_angle_beta 90.00
_cell_angle_gamma 90.00
_space_group_name_H-M_alt 'I m m m'
_space_group_IT_number 71
_space_group_name_Hall '-I 2 2'
loop_
_atom_site_label
_atom_site_fract_x
_atom_site_fract_y
_atom_site_fract_z
Mn1 0.000 0.000 0.000
V1 0.000 0.248 0.165
V2 0.000 0.254 0.500
Tc1 0.000 0.000 0.333
Tc2 0.000 0.500 0.000
Tc3 0.000 0.500 0.335



# PBE-GGA CdTe, relaxed
# V (Å³/cell): 242
# ΔE_f (raw) (eV per atom): -0.047
data_CdTe
_chemical_formula_sum 'Cd4 Te4'
_cell_length_a 4.196
_cell_length_b 4.196
_cell_length_c 13.734
_cell_angle_alpha 90.00
_cell_angle_beta 90.00
_cell_angle_gamma 90.00
_space_group_name_H-M_alt 'I 41/a m d'
_space_group_IT_number 141
loop_
_space_group_symop_operation_xyz
'x,y,z'
'-x,-y,-z'
'-y+1/4,x+3/4,z+1/4'
'y+1/4,-x+3/4,-z+1/4'
'-x+1/2,-y,z+1/2'
'x+1/2,y,-z+1/2'
'y+1/4,-x+1/4,z+3/4'
'-y+1/4,x+1/4,-z+3/4'
'x,-y,-z'
'-x,y,z'
'-y+1/4,-x+1/4,-z+3/4'
'y+1/4,x+1/4,z+3/4'
'-x+1/2,y,-z+1/2'
'x+1/2,-y,z+1/2'
'y+1/4,x+3/4,-z+1/4'
'-y+1/4,-x+3/4,z+1/4'
'x+1/2,y+1/2,z+1/2'
'-x+1/2,-y+1/2,-z+1/2'
'-y+3/4,x+1/4,z+3/4'
'y+3/4,-x+1/4,-z+3/4'
'-x,-y+1/2,z'
'x,y+1/2,-z'
'y+3/4,-x+3/4,z+1/4'
'-y+3/4,x+3/4,-z+1/4'
'x+1/2,-y+1/2,-z+1/2'
'-x+1/2,y+1/2,z+1/2'
'-y+3/4,-x+3/4,-z+1/4'
'y+3/4,x+3/4,z+1/4'
'-x,y+1/2,-z'
'x,-y+1/2,z'
'y+3/4,x+1/4,-z+3/4'
'-y+3/4,-x+1/4,z+3/4'
loop_
_atom_site_label
_atom_site_fract_x
_atom_site_fract_y
_atom_site_fract_z
Cd1 0.000 0.250 0.375
Te1 0.000 0.250 0.875



# PBE-GGA LiMnN2, relaxed
# V (Å³/cell): 120
# E above lowest polymorph (eV/atom): 1.082
# ΔE_f (raw) (eV per atom): 0.738
data_LiMnN2
_chemical_formula_sum 'Li3 Mn3 N6'
_cell_length_a 2.7006
_cell_length_b 2.7006
_cell_length_c 19.0675
_cell_angle_alpha 90.00
_cell_angle_beta 90.00
_cell_angle_gamma 120.00
_space_group_name_H-M_alt 'R -3 m'
_space_group_IT_number 166
_space_group_name_Hall '-R 3 2"'
loop_
_atom_site_label
_atom_site_fract_x
_atom_site_fract_y
_atom_site_fract_z
Li1 0.0000 0.0000 0.0000
Mn1 0.0000 0.0000 0.5000
N1 0.0000 0.0000 0.4109